First-principles (SCAN) data for a PBEsol-optimized structure of LaIn2Pt2, as listed in Alexandria via LeMat-Bulk.

Unit cell a=4.265 b=4.265 c=6.753 alpha=108.41 beta=108.41 gamma=90.00
Element x y z (fractional)
In 0.250 0.750 0.500
In 0.750 0.250 0.500
Pt 0.393 0.393 0.786
Pt 0.607 0.607 0.214
La 0.000 0.000 0.000

Calculated values
Fermi-level density of states ... 2.97 states/eV/cell
ΔE_f ... -0.961 eV/atom

---

First-principles (SCAN) data for a PBEsol-optimized structure of LaInPt3, as listed in Alexandria via LeMat-Bulk.

Unit cell a=5.136 b=5.136 c=5.136 alpha=90.00 beta=90.00 gamma=90.00
Element x y z (fractional)
In 0.500 0.500 0.500
Pt 0.000 0.500 0.000
Pt 0.000 0.000 0.500
Pt 0.500 0.000 0.000
La 0.000 0.000 0.000

Calculated values
Fermi-level density of states ... 4.67 states/eV/cell
ΔE_f ... 0.812 eV/atom

---

First-principles (SCAN) data for a PBEsol-optimized structure of La3InPt, as listed in Alexandria via LeMat-Bulk.

Unit cell a=5.579 b=5.579 c=5.579 alpha=90.00 beta=90.00 gamma=90.00
Element x y z (fractional)
In 0.500 0.500 0.500
Pt 0.000 0.000 0.000
La 0.000 0.500 0.000
La 0.000 0.000 0.500
La 0.500 0.000 0.000

Calculated values
Fermi-level density of states ... 7.44 states/eV/cell
ΔE_f ... -0.689 eV/atom

---

no.,size of the total moment (μB per formula unit)
1,0.00
2,0.00
3,0.00